FeSF2 | PBE with a Hubbard U | relaxed

Output
Symmetry ... I-42d
Excess energy over the best structure of this formula in the dataset ... 0.0 kJ per mole of atoms
D(E_F) ... 3.193 states/eV/f.u.

abc: 5.7815 5.7815 6.5295
angles: 63.72 63.72 90.00
Element x y z (fractional)
S (0.5000, 0.5000, 0.0000)
S (0.2500, 0.7500, 0.5000)
Fe (0.0000, 0.0000, 0.0000)
Fe (0.7500, 0.2500, 0.5000)
F (0.8322, 0.1250, 0.2500)
F (0.9178, 0.6250, 0.2500)
F (0.3750, 0.1678, 0.7500)
F (0.8750, 0.0822, 0.7500)